Na3Mn3SnS8 | PBE-GGA | relaxed

POSCAR file:
```
Na3Mn3SnS8
1.0
3.6108 2.0847 6.6952
-3.6108 2.0847 6.6952
0.0000 -4.1694 6.6952
Na Mn Sn S
3 3 1 8
direct
0.0000 0.5000 0.5000 Na
0.5000 0.0000 0.5000 Na
0.5000 0.5000 0.0000 Na
0.0000 0.0000 0.5000 Mn
0.0000 0.5000 0.0000 Mn
0.5000 0.0000 0.0000 Mn
0.5000 0.5000 0.5000 Sn
0.2181 0.7427 0.7427 S
0.2351 0.2351 0.2351 S
0.2573 0.2573 0.7819 S
0.2573 0.7819 0.2573 S
0.7427 0.2181 0.7427 S
0.7427 0.7427 0.2181 S
0.7649 0.7649 0.7649 S
0.7819 0.2573 0.2573 S
```

- spin magnetization (Bohr magnetons per cell) = 11.498
- formation energy (no corrections) (eV per atom) = -0.73

---

Na2MnSnS4 | PBE-GGA | relaxed

POSCAR file:
```
Na2MnSnS4
1.0
6.5570 0.0000 0.0000
0.0000 3.7586 0.0000
-2.1688 0.0000 6.6645
Na Mn Sn S
2 1 1 4
direct
0.0000 0.0000 0.0000 Na
0.5000 0.5000 0.0000 Na
0.0000 0.5000 0.5000 Mn
0.5000 0.0000 0.5000 Sn
0.2337 0.0000 0.7060 S
0.2584 0.5000 0.2793 S
0.7416 0.5000 0.7207 S
0.7663 0.0000 0.2940 S
```

- spin magnetization (Bohr magnetons per cell) = 4.663
- formation energy (no corrections) (eV per atom) = -0.77

---

Na4MnSn3S8 | PBE-GGA | relaxed

POSCAR file:
```
Na4MnSn3S8
1.0
3.8432 2.2189 6.7276
-3.8432 2.2189 6.7276
0.0000 -4.4378 6.7276
Na Mn Sn S
4 1 3 8
direct
0.0000 0.0000 0.0000 Na
0.0000 0.5000 0.5000 Na
0.5000 0.0000 0.5000 Na
0.5000 0.5000 0.0000 Na
0.5000 0.5000 0.5000 Mn
0.0000 0.0000 0.5000 Sn
0.0000 0.5000 0.0000 Sn
0.5000 0.0000 0.0000 Sn
0.2435 0.2435 0.2435 S
0.2461 0.7349 0.7349 S
0.2651 0.2651 0.7539 S
0.2651 0.7539 0.2651 S
0.7349 0.2461 0.7349 S
0.7349 0.7349 0.2461 S
0.7539 0.2651 0.2651 S
0.7565 0.7565 0.7565 S
```

- spin magnetization (Bohr magnetons per cell) = 4.466
- formation energy (no corrections) (eV per atom) = -0.73

---

NaTaMn2S6 | PBE-GGA | relaxed

POSCAR file:
```
NaTaMn2S6
1.0
3.1421 1.8141 5.7900
-3.1421 1.8141 5.7900
0.0000 -3.6282 5.7900
Na Ta Mn S
1 1 2 6
direct
0.0000 0.0000 0.0000 Na
0.5206 0.5206 0.5206 Ta
0.2068 0.2068 0.2068 Mn
0.7137 0.7137 0.7137 Mn
0.1243 0.4424 0.8059 S
0.3630 0.9416 0.5441 S
0.4424 0.8059 0.1243 S
0.5441 0.3630 0.9416 S
0.8059 0.1243 0.4424 S
0.9416 0.5441 0.3630 S
```

- spin magnetization (Bohr magnetons per cell) = 8.041
- formation energy (no corrections) (eV per atom) = -0.72

---

Na4TaMn3S8 | PBE-GGA | relaxed

POSCAR file:
```
Na4TaMn3S8
1.0
3.6946 2.1331 6.5423
-3.6946 2.1331 6.5423
0.0000 -4.2661 6.5423
Na Ta Mn S
4 1 3 8
direct
0.0000 0.0000 0.0000 Na
0.0000 0.5000 0.5000 Na
0.5000 0.0000 0.5000 Na
0.5000 0.5000 0.0000 Na
0.5000 0.5000 0.5000 Ta
0.0000 0.0000 0.5000 Mn
0.0000 0.5000 0.0000 Mn
0.5000 0.0000 0.0000 Mn
0.2312 0.2312 0.2312 S
0.2485 0.7315 0.7315 S
0.2685 0.2685 0.7515 S
0.2685 0.7515 0.2685 S
0.7315 0.2485 0.7315 S
0.7315 0.7315 0.2485 S
0.7515 0.2685 0.2685 S
0.7688 0.7688 0.7688 S
```

- spin magnetization (Bohr magnetons per cell) = 14.027
- formation energy (no corrections) (eV per atom) = -0.89

---

Na2Ta2MnS6 | PBE-GGA | relaxed

POSCAR file:
```
Na2Ta2MnS6
1.0
2.9124 -5.2096 0.0000
2.9124 5.2096 0.0000
-1.8409 0.0000 7.0544
Na Ta Mn S
2 2 1 6
direct
0.1766 0.8234 0.0000 Na
0.8234 0.1766 0.0000 Na
0.3606 0.6394 0.5000 Ta
0.6394 0.3606 0.5000 Ta
0.0000 0.0000 0.5000 Mn
0.0516 0.3817 0.6949 S
0.2386 0.2386 0.2741 S
0.3817 0.0516 0.6949 S
0.6183 0.9484 0.3051 S
0.7614 0.7614 0.7259 S
0.9484 0.6183 0.3051 S
```

- spin magnetization (Bohr magnetons per cell) = 0.959
- formation energy (no corrections) (eV per atom) = -0.97